Record 1
Entry from the Alexandria database: an optimized crystal structure of NaPrGdIn (PBE).

Values from the calculation:
Energy of formation from the pure elements (eV per atom): -0.161
Total DFT energy (no corrections) (eV/atom): -5.8906

```
4
Lattice="0.0000 3.9021 3.9021 3.9021 0.0000 3.9021 3.9021 3.9021 0.0000" Properties=species:S:1:pos:R:3 pbc="T T T"
Na 0.0000 0.0000 0.0000
Pr 1.9510 1.9510 1.9510
Gd 5.8531 5.8531 5.8531
In 3.9021 3.9021 3.9021
```

Record 2
Entry from the Alexandria database: an optimized crystal structure of Sc2AgRu (PBE).

Values from the calculation:
Energy of formation from the pure elements (eV per atom): -0.437
Total DFT energy (no corrections) (eV/atom): -6.6345

```
4
Lattice="0.0000 3.3087 3.3087 3.3087 0.0000 3.3087 3.3087 3.3087 0.0000" Properties=species:S:1:pos:R:3 pbc="T T T"
Sc 1.6544 1.6544 1.6544
Sc 4.9631 4.9631 4.9631
Ag 0.0000 0.0000 0.0000
Ru 3.3087 3.3087 3.3087
```

Record 3
Entry from the Alexandria database: an optimized crystal structure of Re2NiHg (PBE).

Values from the calculation:
Energy of formation from the pure elements (eV per atom): 0.610
Total DFT energy (no corrections) (eV/atom): -7.1345

```
4
Lattice="3.0537 0.0000 0.0000 0.0000 3.0537 0.0000 0.0000 0.0000 6.7231" Properties=species:S:1:pos:R:3 pbc="T T T"
Re 0.0000 0.0000 1.2658
Re 0.0000 0.0000 5.4573
Ni 1.5269 1.5269 0.0000
Hg 1.5269 1.5269 3.3616
```

Record 4
Entry from the Alexandria database: an optimized crystal structure of Pa4Ni3Bi8 (PBE).

Values from the calculation:
Energy of formation from the pure elements (eV per atom): -0.261
Total DFT energy (no corrections) (eV/atom): -6.0196

```
15
Lattice="4.5651 0.0000 0.0000 0.0000 4.5651 0.0000 0.0000 0.0000 18.1193" Properties=species:S:1:pos:R:3 pbc="T T T"
Pa 0.0000 2.2825 1.9143
Pa 0.0000 2.2825 11.0227
Pa 2.2825 0.0000 7.0967
Pa 2.2825 0.0000 16.2050
Ni 0.0000 0.0000 0.0000
Ni 0.0000 0.0000 9.0597
Ni 2.2825 2.2825 0.0000
Bi 0.0000 0.0000 4.5614
Bi 0.0000 0.0000 13.5580
Bi 0.0000 2.2825 7.6478
Bi 0.0000 2.2825 16.5879
Bi 2.2825 0.0000 1.5314
Bi 2.2825 0.0000 10.4715
Bi 2.2825 2.2825 4.5537
Bi 2.2825 2.2825 13.5657
```

Record 5
Entry from the Alexandria database: an optimized crystal structure of Dy4TlCd5 (PBE).

Values from the calculation:
Energy of formation from the pure elements (eV per atom): -0.305
Total DFT energy (no corrections) (eV/atom): -2.8404

```
10
Lattice="7.8289 -2.5854 0.0000 7.8289 2.5854 0.0000 -1.6747 0.0000 6.2939" Properties=species:S:1:pos:R:3 pbc="T T T"
Dy 0.8926 0.0000 2.3634
Dy 4.5046 0.0000 1.1596
Dy 9.4784 0.0000 5.1343
Dy 13.0904 0.0000 3.9305
Tl 6.9915 0.0000 3.1470
Cd 0.0477 0.0000 5.6805
Cd 3.4364 0.0000 4.2913
Cd 7.8289 0.0000 0.0000
Cd 10.5467 0.0000 2.0026
Cd 13.9354 0.0000 0.6134
```

Record 6
Entry from the Alexandria database: an optimized crystal structure of Hf2BeNbAg (PBE).

Values from the calculation:
Energy of formation from the pure elements (eV per atom): 1.624
Total DFT energy (no corrections) (eV/atom): -5.6866

```
5
Lattice="5.0130 0.0000 0.0000 0.0000 5.0130 0.0000 0.0000 0.0000 4.9553" Properties=species:S:1:pos:R:3 pbc="T T T"
Hf 0.0000 2.5065 0.0000
Hf 2.5065 0.0000 0.0000
Be 0.0000 0.0000 2.4777
Nb 2.5065 2.5065 2.4777
Ag 2.5065 2.5065 0.0000
```

Record 7
Entry from the Alexandria database: an optimized crystal structure of ErAl3Cu2 (PBE).

Values from the calculation:
Energy of formation from the pure elements (eV per atom): -0.320
Total DFT energy (no corrections) (eV/atom): -4.3171

```
12
Lattice="4.7655 -4.0231 0.0000 4.7655 4.0231 0.0000 0.0000 0.0000 5.2713" Properties=species:S:1:pos:R:3 pbc="T T T"
Er 4.7655 2.8014 3.9535
Er 4.7655 -2.8014 1.3178
Al 3.1214 2.2564 1.3178
Al 6.4095 2.2564 1.3178
Al 4.7655 0.2640 1.3178
Al 4.7655 -0.2640 3.9535
Al 3.1214 -2.2564 3.9535
Al 6.4095 -2.2564 3.9535
Cu 2.6567 0.0000 0.0000
Cu 2.6567 0.0000 2.6357
Cu 6.8742 0.0000 0.0000
Cu 6.8742 0.0000 2.6357
```

Record 8
Entry from the Alexandria database: an optimized crystal structure of LiMg2Ag6 (PBE).

Values from the calculation:
Energy above the lowest structure with this stoichiometry (meV/atom): 72
Energy of formation from the pure elements (eV per atom): -0.094
Total DFT energy (no corrections) (eV/atom): -2.5616

```
9
Lattice="7.1456 -4.0334 0.0000 7.1456 4.0334 0.0000 -0.3821 0.0000 2.8477" Properties=species:S:1:pos:R:3 pbc="T T T"
Li 0.0000 0.0000 0.0000
Mg 4.3681 0.0000 1.6271
Mg 9.5410 0.0000 1.2206
Ag 4.4643 2.6135 2.7509
Ag 6.9546 1.4434 1.4239
Ag 9.4448 2.6135 0.0968
Ag 4.4643 -2.6135 2.7509
Ag 6.9546 -1.4434 1.4239
Ag 9.4448 -2.6135 0.0968
```

Record 9
Entry from the Alexandria database: an optimized crystal structure of CaPm4Ho3S8 (PBE).

Values from the calculation:
Formation energy from raw total energies (meV/atom): -2017
Total DFT energy (no corrections) (eV/atom): -6.2521

```
16
Lattice="3.9547 2.2832 6.5537 -3.9547 2.2832 6.5537 0.0000 -4.5665 6.5537" Properties=species:S:1:pos:R:3 pbc="T T T"
Ca 0.0000 0.0000 0.0000
Pm -3.9547 0.0000 9.8306
Pm -1.9773 1.1416 3.2769
Pm 1.9773 1.1416 3.2769
Pm 0.0000 0.0000 9.8306
Ho -1.9773 -1.1416 6.5537
Ho -1.9773 1.1416 13.1075
Ho 0.0000 2.2832 6.5537
S 0.0000 -2.2676 8.1076
S -1.9638 1.1338 8.1076
S 0.0000 0.0000 5.0106
S -1.9638 -1.1338 11.5537
S 1.9638 1.1338 8.1076
S 0.0000 0.0000 14.6506
S 1.9638 -1.1338 11.5537
S 0.0000 2.2676 11.5537
```

Record 10
Entry from the Alexandria database: an optimized crystal structure of PrPu4Ir4 (PBE).

Values from the calculation:
Energy of formation from the pure elements (eV per atom): -0.381
Total DFT energy (no corrections) (eV/atom): -11.2196

```
18
Lattice="9.0229 0.0000 0.0000 0.0000 9.0229 0.0000 0.0000 0.0000 5.5344" Properties=species:S:1:pos:R:3 pbc="T T T"
Pr 2.2557 2.2557 1.3836
Pr 6.7672 6.7672 4.1508
Pu 0.6797 5.8661 0.9961
Pu 1.3547 8.3433 3.7633
Pu 3.1568 5.1911 3.7633
Pu 3.8318 7.6682 0.9961
Pu 5.1911 1.3547 4.5382
Pu 5.8661 3.8318 1.7710
Pu 7.6682 0.6797 1.7710
Pu 8.3433 3.1568 4.5382
Ir 0.4415 5.5708 3.7356
Ir 1.0593 8.5814 0.9685
Ir 3.4521 4.9530 0.9685
Ir 4.0699 7.9636 3.7356
Ir 4.9530 1.0593 1.7987
Ir 5.5708 4.0699 4.5659
Ir 7.9636 0.4415 4.5659
Ir 8.5814 3.4521 1.7987
```

Record 11
Entry from the Alexandria database: an optimized crystal structure of Ac2B3PdPt12 (PBE).

Values from the calculation:
Energy of formation from the pure elements (eV per atom): -0.366
Total DFT energy (no corrections) (eV/atom): -6.2506

```
18
Lattice="4.0081 2.3141 6.0221 -4.0081 2.3141 6.0221 0.0000 -4.6281 6.0221" Properties=species:S:1:pos:R:3 pbc="T T T"
Ac 0.0000 0.0000 1.9589
Ac 0.0000 0.0000 16.1074
B -2.0040 -1.1570 6.0221
B -2.0040 1.1570 12.0442
B 0.0000 2.3141 6.0221
Pd 0.0000 0.0000 9.0331
Pt -2.0222 -1.1675 8.1282
Pt 0.0000 -1.8837 5.6570
Pt -1.6313 0.9418 5.6570
Pt 0.0000 -2.3351 9.9380
Pt -2.0222 1.1675 9.9380
Pt -1.6313 -0.9418 12.4092
Pt 1.6313 0.9418 5.6570
Pt 2.0222 -1.1675 8.1282
Pt 0.0000 2.3351 8.1282
Pt 1.6313 -0.9418 12.4092
Pt 0.0000 1.8837 12.4092
Pt 2.0222 1.1675 9.9380
```

Record 12
Entry from the Alexandria database: an optimized crystal structure of KOsBr2 (PBE).

Values from the calculation:
Energy above the lowest structure with this stoichiometry (meV/atom): 340
Formation energy from raw total energies (meV/atom): 386
Total DFT energy (no corrections) (eV/atom): -3.5319

```
4
Lattice="1.8228 1.0524 9.4538 -1.8228 1.0524 9.4538 0.0000 -2.1048 9.4538" Properties=species:S:1:pos:R:3 pbc="T T T"
K 0.0000 0.0000 0.0000
Os 0.0000 0.0000 14.1807
Br 0.0000 0.0000 11.7549
Br 0.0000 0.0000 16.6064
```

Q: Which formula does entry 2 have?
A: Sc2AgRu